DFT (PBE) results for a relaxed Fe2AgAu crystal.

a = 4.8391 Å, b = 4.8391 Å, c = 4.8363 Å
α = 80.78°, β = 80.78°, γ = 33.09°
With the nearest neighbours (Å) after each atom.
Element x y z (fractional)
Ag  0.7500  0.7500  0.7500  2 Ag 2.76, 4 Au 2.78, 6 Fe 2.79-2.82
Au  0.2500  0.2500  0.2500  2 Au 2.76, 6 Fe 2.77-2.79, 4 Ag 2.78
Fe  0.9981  0.9981  0.0059  6 Fe 2.74-2.83, 3 Au 2.77-2.79, 3 Ag 2.79-2.82
Fe  0.5019  0.5019  0.4941  6 Fe 2.74-2.83, 3 Au 2.77-2.79, 3 Ag 2.79-2.82

Values from the calculation:
Its density of states at the Fermi level is 3.756 states/eV per cell. For the formation energy, the calculation gives 1.283 eV/f.u.